Below is ThPI after structural relaxation, with properties calculated at the PBE-GGA level.

Values from the calculation:
Final energy in eV/atom: -5.81

Cell: 7.578 4.436 7.855 Å, 90.00 100.79 90.00°
Fractional coordinates of all 6 atoms:
Th1 0.002 0.250 0.212
Th2 0.998 0.750 0.788
P1 0.176 0.750 0.124
P2 0.824 0.250 0.876
I1 0.248 0.250 0.618
I2 0.752 0.750 0.382